# GeHI2N | the Alexandria database | PBE-GGA | optimized geometry
data_GeHI2N
_symmetry_space_group_name_H-M 'P 4/m m m'
_symmetry_Int_Tables_number 123
_symmetry_space_group_name_Hall '-P 4 2'
_cell_length_a 6.411
_cell_length_b 6.411
_cell_length_c 3.366
_cell_angle_alpha 90.00
_cell_angle_beta 90.00
_cell_angle_gamma 90.00
loop_
_atom_site_label
_atom_site_type_symbol
_atom_site_fract_x
_atom_site_fract_y
_atom_site_fract_z
Ge1 Ge 0.000 0.000 0.000
H1 H 0.500 0.500 0.500
I1 I 0.000 0.500 0.000
N1 N 0.000 0.000 0.500
# Total magnetic moment   0.9 μB per formula unit
# Offset from the most stable computed form   0.000 eV/atom
# Total energy   -2.97 eV per atom

=====

# GeHIN2 | the Alexandria database | PBE-GGA | optimized geometry
data_GeHIN2
_symmetry_space_group_name_H-M 'P 4/m m m'
_symmetry_Int_Tables_number 123
_symmetry_space_group_name_Hall '-P 4 2'
_cell_length_a 4.338
_cell_length_b 4.338
_cell_length_c 3.539
_cell_angle_alpha 90.00
_cell_angle_beta 90.00
_cell_angle_gamma 90.00
loop_
_atom_site_label
_atom_site_type_symbol
_atom_site_fract_x
_atom_site_fract_y
_atom_site_fract_z
Ge1 Ge 0.000 0.000 0.000
H1 H 0.500 0.500 0.500
I1 I 0.500 0.500 0.000
N1 N 0.000 0.500 0.500
# Total magnetic moment   1.4 μB per formula unit
# Offset from the most stable computed form   0.737 eV/atom
# Total energy   -3.09 eV per atom

=====

# Nd8Ge3HI4 | the Alexandria database | PBE-GGA | optimized geometry
data_Nd8Ge3HI4
_symmetry_space_group_name_H-M 'R -3 m'
_symmetry_Int_Tables_number 166
_symmetry_space_group_name_Hall '-R 3 2"'
_cell_length_a 8.5100
_cell_length_b 8.5100
_cell_length_c 23.1309
_cell_angle_alpha 90.00
_cell_angle_beta 90.00
_cell_angle_gamma 120.00
loop_
_atom_site_label
_atom_site_type_symbol
_atom_site_fract_x
_atom_site_fract_y
_atom_site_fract_z
Nd1 Nd 0.0000 0.0000 0.2341
Nd2 Nd 0.0098 0.5049 0.2321
Ge1 Ge 0.0000 0.5000 0.5000
H1 H 0.0000 0.0000 0.5000
I1 I 0.0000 0.0000 0.0000
I2 I 0.0000 0.5000 0.0000
# Total magnetic moment   0.0 μB per formula unit
# Total energy   -4.71 eV per atom

=====

# GeHIO2 | the Alexandria database | PBE-GGA | optimized geometry
data_GeHIO2
_symmetry_space_group_name_H-M 'P 4/m m m'
_symmetry_Int_Tables_number 123
_symmetry_space_group_name_Hall '-P 4 2'
_cell_length_a 3.565
_cell_length_b 3.565
_cell_length_c 6.534
_cell_angle_alpha 90.00
_cell_angle_beta 90.00
_cell_angle_gamma 90.00
loop_
_atom_site_label
_atom_site_type_symbol
_atom_site_fract_x
_atom_site_fract_y
_atom_site_fract_z
Ge1 Ge 0.000 0.000 0.000
H1 H 0.500 0.500 0.500
I1 I 0.000 0.000 0.500
O1 O 0.000 0.500 0.000
# Total magnetic moment   0.2 μB per formula unit
# Offset from the most stable computed form   0.000 eV/atom
# Total energy   -4.06 eV per atom

=====

# GeHI2O | the Alexandria database | PBE-GGA | optimized geometry
data_GeHI2O
_symmetry_space_group_name_H-M 'P 4/m m m'
_symmetry_Int_Tables_number 123
_symmetry_space_group_name_Hall '-P 4 2'
_cell_length_a 5.969
_cell_length_b 5.969
_cell_length_c 3.616
_cell_angle_alpha 90.00
_cell_angle_beta 90.00
_cell_angle_gamma 90.00
loop_
_atom_site_label
_atom_site_type_symbol
_atom_site_fract_x
_atom_site_fract_y
_atom_site_fract_z
Ge1 Ge 0.000 0.000 0.000
H1 H 0.500 0.500 0.500
I1 I 0.000 0.500 0.000
O1 O 0.000 0.000 0.500
# Total magnetic moment   0.9 μB per formula unit
# Offset from the most stable computed form   0.000 eV/atom
# Total energy   -2.99 eV per atom

=====

# GeHI2O | the Alexandria database | PBE-GGA | optimized geometry
data_GeHI2O
_symmetry_space_group_name_H-M 'P 4/m m m'
_symmetry_Int_Tables_number 123
_symmetry_space_group_name_Hall '-P 4 2'
_cell_length_a 6.069
_cell_length_b 6.069
_cell_length_c 2.857
_cell_angle_alpha 90.00
_cell_angle_beta 90.00
_cell_angle_gamma 90.00
loop_
_atom_site_label
_atom_site_type_symbol
_atom_site_fract_x
_atom_site_fract_y
_atom_site_fract_z
Ge1 Ge 0.000 0.000 0.000
H1 H 0.500 0.500 0.500
I1 I 0.000 0.500 0.500
O1 O 0.500 0.500 0.000
# Total magnetic moment   0.0 μB per formula unit
# Offset from the most stable computed form   0.248 eV/atom
# Total energy   -2.75 eV per atom

=====

# GeHIO2 | the Alexandria database | PBE-GGA | optimized geometry
data_GeHIO2
_symmetry_space_group_name_H-M 'P 4/m m m'
_symmetry_Int_Tables_number 123
_symmetry_space_group_name_Hall '-P 4 2'
_cell_length_a 4.332
_cell_length_b 4.332
_cell_length_c 3.506
_cell_angle_alpha 90.00
_cell_angle_beta 90.00
_cell_angle_gamma 90.00
loop_
_atom_site_label
_atom_site_type_symbol
_atom_site_fract_x
_atom_site_fract_y
_atom_site_fract_z
Ge1 Ge 0.000 0.000 0.000
H1 H 0.500 0.500 0.500
I1 I 0.500 0.500 0.000
O1 O 0.000 0.500 0.500
# Total magnetic moment   0.0 μB per formula unit
# Offset from the most stable computed form   0.870 eV/atom
# Total energy   -3.19 eV per atom

=====

# Pm8Ge3HI4 | the Alexandria database | PBE-GGA | optimized geometry
data_Pm8Ge3HI4
_symmetry_space_group_name_H-M 'R -3 m'
_symmetry_Int_Tables_number 166
_symmetry_space_group_name_Hall '-R 3 2"'
_cell_length_a 8.4489
_cell_length_b 8.4489
_cell_length_c 22.9450
_cell_angle_alpha 90.00
_cell_angle_beta 90.00
_cell_angle_gamma 120.00
loop_
_atom_site_label
_atom_site_type_symbol
_atom_site_fract_x
_atom_site_fract_y
_atom_site_fract_z
Pm1 Pm 0.0000 0.0000 0.2339
Pm2 Pm 0.0111 0.5055 0.2318
Ge1 Ge 0.0000 0.5000 0.5000
H1 H 0.0000 0.0000 0.5000
I1 I 0.0000 0.0000 0.0000
I2 I 0.0000 0.5000 0.0000
# Total magnetic moment   0.0 μB per formula unit
# Total energy   -4.70 eV per atom

=====

# Pr8Ge3HI4 | the Alexandria database | PBE-GGA | optimized geometry
data_Pr8Ge3HI4
_symmetry_space_group_name_H-M 'R -3 m'
_symmetry_Int_Tables_number 166
_symmetry_space_group_name_Hall '-R 3 2"'
_cell_length_a 8.5743
_cell_length_b 8.5743
_cell_length_c 23.3137
_cell_angle_alpha 90.00
_cell_angle_beta 90.00
_cell_angle_gamma 120.00
loop_
_atom_site_label
_atom_site_type_symbol
_atom_site_fract_x
_atom_site_fract_y
_atom_site_fract_z
Pr1 Pr 0.0000 0.0000 0.2343
Pr2 Pr 0.0088 0.5044 0.2324
Ge1 Ge 0.0000 0.5000 0.5000
H1 H 0.0000 0.0000 0.5000
I1 I 0.0000 0.0000 0.0000
I2 I 0.0000 0.5000 0.0000
# Total magnetic moment   0.0 μB per formula unit
# Total energy   -4.73 eV per atom

=====

# Rb2GeHI6 | the Alexandria database | PBE-GGA | optimized geometry
data_Rb2GeHI6
_symmetry_space_group_name_H-M 'I 4/m m m'
_symmetry_Int_Tables_number 139
_symmetry_space_group_name_Hall '-I 4 2'
_cell_length_a 7.623
_cell_length_b 7.623
_cell_length_c 13.206
_cell_angle_alpha 90.00
_cell_angle_beta 90.00
_cell_angle_gamma 90.00
loop_
_atom_site_label
_atom_site_type_symbol
_atom_site_fract_x
_atom_site_fract_y
_atom_site_fract_z
Rb1 Rb 0.000 0.500 0.250
Ge1 Ge 0.000 0.000 0.000
H1 H 0.000 0.000 0.500
I1 I 0.000 0.000 0.222
I2 I 0.237 0.237 0.500
# Total magnetic moment   0.0 μB per formula unit
# Total energy   -2.41 eV per atom

=====

# Rb2GeHI5 | the Alexandria database | PBE-GGA | optimized geometry
data_Rb2GeHI5
_symmetry_space_group_name_H-M 'C m c 21'
_symmetry_Int_Tables_number 36
_cell_length_a 4.736
_cell_length_b 21.901
_cell_length_c 14.583
_cell_angle_alpha 90.00
_cell_angle_beta 90.00
_cell_angle_gamma 90.00
loop_
_symmetry_equiv_pos_as_xyz
'x,y,z'
'-x,-y,z+1/2'
'-x,y,z'
'x,-y,z+1/2'
'x+1/2,y+1/2,z'
'-x+1/2,-y+1/2,z+1/2'
'-x+1/2,y+1/2,z'
'x+1/2,-y+1/2,z+1/2'
loop_
_atom_site_label
_atom_site_type_symbol
_atom_site_fract_x
_atom_site_fract_y
_atom_site_fract_z
Rb1 Rb 0.000 0.134 0.000
Rb2 Rb 0.000 0.141 0.639
Ge1 Ge 0.000 0.184 0.322
H1 H 0.000 0.474 0.689
I1 I 0.000 0.058 0.330
I2 I 0.000 0.304 0.960
I3 I 0.000 0.309 0.682
I4 I 0.000 0.341 0.320
I5 I 0.000 0.498 0.083
# Total magnetic moment   0.0 μB per formula unit
# Total energy   -2.69 eV per atom

=====

# GeSbHI2 | the Alexandria database | PBE-GGA | optimized geometry
data_GeSbHI2
_symmetry_space_group_name_H-M 'P 4/m m m'
_symmetry_Int_Tables_number 123
_symmetry_space_group_name_Hall '-P 4 2'
_cell_length_a 5.638
_cell_length_b 5.638
_cell_length_c 3.930
_cell_angle_alpha 90.00
_cell_angle_beta 90.00
_cell_angle_gamma 90.00
loop_
_atom_site_label
_atom_site_type_symbol
_atom_site_fract_x
_atom_site_fract_y
_atom_site_fract_z
Ge1 Ge 0.000 0.000 0.000
Sb1 Sb 0.500 0.500 0.000
H1 H 0.500 0.500 0.500
I1 I 0.000 0.500 0.500
# Total magnetic moment   0.0 μB per formula unit
# Offset from the most stable computed form   0.000 eV/atom
# Total energy   -2.57 eV per atom

=====

# GeSbHI2 | the Alexandria database | PBE-GGA | optimized geometry
data_GeSbHI2
_symmetry_space_group_name_H-M 'P 4/m m m'
_symmetry_Int_Tables_number 123
_symmetry_space_group_name_Hall '-P 4 2'
_cell_length_a 5.875
_cell_length_b 5.875
_cell_length_c 5.576
_cell_angle_alpha 90.00
_cell_angle_beta 90.00
_cell_angle_gamma 90.00
loop_
_atom_site_label
_atom_site_type_symbol
_atom_site_fract_x
_atom_site_fract_y
_atom_site_fract_z
Ge1 Ge 0.000 0.000 0.000
Sb1 Sb 0.000 0.000 0.500
H1 H 0.500 0.500 0.500
I1 I 0.000 0.500 0.000
# Total magnetic moment   2.6 μB per formula unit
# Offset from the most stable computed form   0.236 eV/atom
# Total energy   -2.33 eV per atom

=====

# ScGeHI2 | the Alexandria database | PBE-GGA | optimized geometry
data_ScGeHI2
_symmetry_space_group_name_H-M 'P 4/m m m'
_symmetry_Int_Tables_number 123
_symmetry_space_group_name_Hall '-P 4 2'
_cell_length_a 5.749
_cell_length_b 5.749
_cell_length_c 5.372
_cell_angle_alpha 90.00
_cell_angle_beta 90.00
_cell_angle_gamma 90.00
loop_
_atom_site_label
_atom_site_type_symbol
_atom_site_fract_x
_atom_site_fract_y
_atom_site_fract_z
Sc1 Sc 0.000 0.000 0.000
Ge1 Ge 0.000 0.000 0.500
H1 H 0.500 0.500 0.500
I1 I 0.000 0.500 0.000
# Total magnetic moment   0.8 μB per formula unit
# Total energy   -3.28 eV per atom

=====

# SiGeHI2 | the Alexandria database | PBE-GGA | optimized geometry
data_SiGeHI2
_symmetry_space_group_name_H-M 'P 4/m m m'
_symmetry_Int_Tables_number 123
_symmetry_space_group_name_Hall '-P 4 2'
_cell_length_a 5.560
_cell_length_b 5.560
_cell_length_c 3.652
_cell_angle_alpha 90.00
_cell_angle_beta 90.00
_cell_angle_gamma 90.00
loop_
_atom_site_label
_atom_site_type_symbol
_atom_site_fract_x
_atom_site_fract_y
_atom_site_fract_z
Si1 Si 0.000 0.000 0.000
Ge1 Ge 0.500 0.500 0.000
H1 H 0.500 0.500 0.500
I1 I 0.000 0.500 0.500
# Total magnetic moment   0.0 μB per formula unit
# Offset from the most stable computed form   0.174 eV/atom
# Total energy   -2.69 eV per atom

=====

# SiGeHI2 | the Alexandria database | PBE-GGA | optimized geometry
data_SiGeHI2
_symmetry_space_group_name_H-M 'P 4/m m m'
_symmetry_Int_Tables_number 123
_symmetry_space_group_name_Hall '-P 4 2'
_cell_length_a 5.722
_cell_length_b 5.722
_cell_length_c 3.660
_cell_angle_alpha 90.00
_cell_angle_beta 90.00
_cell_angle_gamma 90.00
loop_
_atom_site_label
_atom_site_type_symbol
_atom_site_fract_x
_atom_site_fract_y
_atom_site_fract_z
Si1 Si 0.000 0.000 0.000
Ge1 Ge 0.500 0.500 0.500
H1 H 0.000 0.000 0.500
I1 I 0.000 0.500 0.000
# Total magnetic moment   0.0 μB per formula unit
# Offset from the most stable computed form   0.000 eV/atom
# Total energy   -2.87 eV per atom

=====

# GeTeHI2 | the Alexandria database | PBE-GGA | optimized geometry
data_GeTeHI2
_symmetry_space_group_name_H-M 'P 4/m m m'
_symmetry_Int_Tables_number 123
_symmetry_space_group_name_Hall '-P 4 2'
_cell_length_a 5.860
_cell_length_b 5.860
_cell_length_c 5.546
_cell_angle_alpha 90.00
_cell_angle_beta 90.00
_cell_angle_gamma 90.00
loop_
_atom_site_label
_atom_site_type_symbol
_atom_site_fract_x
_atom_site_fract_y
_atom_site_fract_z
Ge1 Ge 0.000 0.000 0.000
Te1 Te 0.000 0.000 0.500
H1 H 0.500 0.500 0.500
I1 I 0.000 0.500 0.000
# Total magnetic moment   2.5 μB per formula unit
# Offset from the most stable computed form   0.091 eV/atom
# Total energy   -2.24 eV per atom

=====

# GeTeHI2 | the Alexandria database | PBE-GGA | optimized geometry
data_GeTeHI2
_symmetry_space_group_name_H-M 'P 4/m m m'
_symmetry_Int_Tables_number 123
_symmetry_space_group_name_Hall '-P 4 2'
_cell_length_a 5.779
_cell_length_b 5.779
_cell_length_c 3.882
_cell_angle_alpha 90.00
_cell_angle_beta 90.00
_cell_angle_gamma 90.00
loop_
_atom_site_label
_atom_site_type_symbol
_atom_site_fract_x
_atom_site_fract_y
_atom_site_fract_z
Ge1 Ge 0.000 0.000 0.000
Te1 Te 0.500 0.500 0.000
H1 H 0.500 0.500 0.500
I1 I 0.000 0.500 0.500
# Total magnetic moment   0.0 μB per formula unit
# Offset from the most stable computed form   0.000 eV/atom
# Total energy   -2.33 eV per atom

=====

# Ti2GeHI | the Alexandria database | PBE-GGA | optimized geometry
data_Ti2GeHI
_symmetry_space_group_name_H-M 'P 4/m m m'
_symmetry_Int_Tables_number 123
_symmetry_space_group_name_Hall '-P 4 2'
_cell_length_a 4.883
_cell_length_b 4.883
_cell_length_c 5.598
_cell_angle_alpha 90.00
_cell_angle_beta 90.00
_cell_angle_gamma 90.00
loop_
_atom_site_label
_atom_site_type_symbol
_atom_site_fract_x
_atom_site_fract_y
_atom_site_fract_z
Ti1 Ti 0.000 0.500 0.000
Ge1 Ge 0.000 0.000 0.000
H1 H 0.500 0.500 0.500
I1 I 0.000 0.000 0.500
# Total magnetic moment   0.0 μB per formula unit
# Total energy   -3.89 eV per atom

=====

# InGeH2 | the Alexandria database | PBE-GGA | optimized geometry
data_InGeH2
_symmetry_space_group_name_H-M 'F m -3 m'
_symmetry_Int_Tables_number 225
_symmetry_space_group_name_Hall '-F 4 2 3'
_cell_length_a 5.924
_cell_length_b 5.924
_cell_length_c 5.924
_cell_angle_alpha 90.00
_cell_angle_beta 90.00
_cell_angle_gamma 90.00
loop_
_atom_site_label
_atom_site_type_symbol
_atom_site_fract_x
_atom_site_fract_y
_atom_site_fract_z
In1 In 0.000 0.000 0.000
Ge1 Ge 0.000 0.000 0.500
H1 H 0.250 0.250 0.250
# Total magnetic moment   0.0 μB per formula unit
# Offset from the most stable computed form   0.258 eV/atom
# Total energy   -2.81 eV per atom